[1]
Computed, not measured: a relaxed CsAsIO2 crystal at the GGA-PBEsol level of DFT.

```
CsAsIO2
1.0
4.297 0.000 0.000
0.000 4.297 0.000
0.000 0.000 7.416
As O Cs I
1 2 1 1
Cartesian
2.148 2.148 3.708
2.148 0.000 0.000
0.000 2.148 0.000
0.000 0.000 0.000
0.000 0.000 3.708
```

Output
Total magnetic moment in Bohr magnetons per cell: 1.193
Space-group type: P4/mmm, No. 123


[2]
Computed, not measured: a relaxed LiInBr2 crystal at the GGA-PBEsol level of DFT.

```
LiInBr2
1.0
-1.993 2.185 2.193
-3.345 -1.735 -1.311
1.756 -4.273 5.853
Br Li In
2 1 1
Cartesian
-0.679 -4.356 3.724
-0.910 -1.652 0.819
-2.669 0.225 0.441
-0.118 -1.044 4.023
```

Output
Total magnetic moment in Bohr magnetons per cell: 0.000
ΔE to the lowest computed polymorph in eV/atom: 0.041
Space-group type: P2/m, No. 10


[3]
Computed, not measured: a relaxed ZrTlPb crystal at the GGA-PBEsol level of DFT.

```
ZrTlPb
1.0
3.167 0.000 0.000
0.000 5.166 0.000
0.000 -2.583 4.474
Zr Pb Tl
1 1 1
Cartesian
1.105 2.583 1.491
3.088 0.000 0.000
2.141 0.000 2.982
```

Output
Total magnetic moment in Bohr magnetons per cell: 0.000
DFT formation energy in meV per atom: 145
Space-group type: P3m1, No. 156


| no. | Fermi-level density of states (states/eV/atom) | total energy (Ha/atom) |
| --- | --- | --- |
| 1 | 0.70 | -0.1106 |
| 2 | 0.00 | -0.1160 |
| 3 | 1.09 | -0.1872 |